1.
# SmGdCdOs

SmGdCdOs after structural relaxation (PBE, Alexandria).

abc: 5.091 5.091 5.091
angles: 60.00 60.00 60.00
Last column: magnetic moment on the atom in μB.
Positions (direct):
Cd1 0.250 0.250 0.250  0.00
Sm1 0.000 0.000 0.000  0.02
Os1 0.750 0.750 0.750  -0.17
Gd1 0.500 0.500 0.500  7.03

Values from the calculation:
- ΔE_f (meV/atom) = -137
- magnetic moment (μB per atom) = 1.76


2.
# Er5Zn2In

Er5Zn2In after structural relaxation (PBE, Alexandria).

abc: 7.487 7.487 9.112
angles: 114.26 114.26 90.00
Positions (direct):
Zn1 0.878 0.622 0.000
Zn2 0.378 0.878 0.000
Zn3 0.622 0.122 0.000
Zn4 0.122 0.378 0.000
Er1 0.187 0.019 0.706
Er2 0.019 0.519 0.706
Er3 0.687 0.187 0.706
Er4 0.481 0.313 0.294
Er5 0.519 0.687 0.706
Er6 0.500 0.500 0.000
Er7 0.313 0.813 0.294
Er8 0.981 0.481 0.294
Er9 0.813 0.981 0.294
Er10 0.000 0.000 0.000
In1 0.250 0.250 0.500
In2 0.750 0.750 0.500

Values from the calculation:
- ΔE_f (meV/atom) = -282
- magnetic moment (μB per atom) = 0.00


3.
# YHo2F8

YHo2F8 after structural relaxation (PBE, Alexandria).

abc: 4.285 6.179 6.179
angles: 111.60 100.32 100.32
Last column: magnetic moment on the atom in μB.
Positions (direct):
F1 0.500 0.248 0.752  0.01
F2 0.030 0.315 0.057  0.00
F3 0.308 0.626 0.626  0.01
F4 0.692 0.374 0.374  0.01
F5 0.030 0.057 0.315  0.00
F6 0.500 0.752 0.248  0.01
F7 0.970 0.943 0.685  0.00
F8 0.970 0.685 0.943  0.00
Ho1 0.000 0.681 0.319  0.06
Ho2 0.000 0.319 0.681  0.06
Y1 0.500 0.000 0.000  0.51

Values from the calculation:
- E_form (uncorrected) (eV/atom) = -3.810
- magnetic moment (μB per atom) = 0.09


4.
# YCoCuHg2

YCoCuHg2 after structural relaxation (PBE, Alexandria).

abc: 4.864 4.643 4.864
angles: 90.00 90.00 90.00
Last column: magnetic moment on the atom in μB.
Positions (direct):
Hg1 0.500 0.000 0.000  0.01
Hg2 0.000 0.000 0.500  0.00
Co1 0.000 0.500 0.000  1.82
Y1 0.500 0.500 0.500  -0.11
Cu1 0.000 0.000 0.000  0.02

Values from the calculation:
- ΔE_f (meV/atom) = 334
- magnetic moment (μB per atom) = 0.31


5.
# LaIn2Au

LaIn2Au after structural relaxation (PBE, Alexandria).

abc: 4.602 4.605 4.850
angles: 90.00 90.00 90.00
Positions (direct):
In1 0.500 0.500 0.000
In2 0.000 0.000 0.000
Au1 0.000 0.500 0.500
La1 0.500 0.000 0.500

Values from the calculation:
- ΔE_f (meV/atom) = -491
- magnetic moment (μB per atom) = 0.00


6.
# TbPr3Ag2

TbPr3Ag2 after structural relaxation (PBE, Alexandria).

abc: 5.284 7.055 9.508
angles: 90.00 90.00 90.00
Positions (direct):
Ag1 0.500 0.224 0.158
Ag2 0.500 0.724 0.842
Ag3 0.000 0.776 0.349
Ag4 0.000 0.276 0.651
Pr1 0.000 0.339 0.336
Pr2 0.000 0.493 0.938
Pr3 0.500 0.159 0.829
Pr4 0.000 0.993 0.062
Pr5 0.500 0.659 0.171
Pr6 0.000 0.839 0.664
Tb1 0.500 0.509 0.560
Tb2 0.500 0.009 0.440

Values from the calculation:
- ΔE_f (meV/atom) = -149
- energy above the most stable polymorph in this dataset (eV/atom) = 0.000
- magnetic moment (μB per atom) = 0.00


7.
# Na3Er2ScS6

Na3Er2ScS6 after structural relaxation (PBE, Alexandria).

abc: 6.739 6.739 7.033
angles: 99.20 99.20 120.01
Positions (direct):
Na1 0.500 0.500 0.500
Na2 0.167 0.833 0.500
Na3 0.833 0.167 0.500
Er1 0.333 0.667 0.000
Er2 0.667 0.333 0.000
S1 0.249 0.249 0.779
S2 0.751 0.751 0.221
S3 0.397 0.074 0.222
S4 0.074 0.397 0.222
S5 0.926 0.603 0.778
S6 0.603 0.926 0.778
Sc1 0.000 0.000 0.000

Values from the calculation:
- E_form (uncorrected) (eV/atom) = -1.813
- magnetic moment (μB per atom) = 0.00


8.
# Sc8SnHg2

Sc8SnHg2 after structural relaxation (PBE, Alexandria).

abc: 5.050 8.003 8.003
angles: 118.36 100.99 100.99
Last column: magnetic moment on the atom in μB.
Positions (direct):
Sc1 0.116 0.096 0.322  0.17
Sc2 0.116 0.322 0.096  0.17
Sc3 0.884 0.678 0.904  0.17
Sc4 0.500 0.221 0.779  0.11
Sc5 0.500 0.779 0.221  0.11
Sc6 0.298 0.598 0.598  0.05
Sc7 0.702 0.402 0.402  0.05
Sc8 0.884 0.904 0.678  0.17
Hg1 0.000 0.305 0.695  0.00
Hg2 0.000 0.695 0.305  0.00
Sn1 0.500 0.000 0.000  -0.01

Values from the calculation:
- ΔE_f (meV/atom) = -196
- magnetic moment (μB per atom) = 0.14